Entry 1:
The following is a PBE-GGA calculation of an optimized crystal structure of Dy4Zn2Os, from the Alexandria database.

Summary:
Energy relative to the elements in eV per atom: -0.191
Calculated volume in Å³ per cell: 510.2

a = 4.9557 Å, b = 4.9557 Å, c = 23.9860 Å
α = 90.00°, β = 90.00°, γ = 120.00°
Space group R-3m (No. 166, hexagonal axes)
Symmetry-distinct sites (fractional):
Dy  0.0000  0.0000  0.1217 x6
Dy  0.0000  0.0000  0.3736 x6
Zn  0.0000  0.0000  0.2496 x6
Os  0.0000  0.0000  0.0000 x3

Entry 2:
The following is a PBE-GGA calculation of an optimized crystal structure of DyZrZnOs, from the Alexandria database.

Summary:
Energy relative to the elements in eV per atom: -0.287
Calculated volume in Å³ per cell: 312.6

a = 6.787 Å, b = 6.787 Å, c = 6.787 Å
α = 90.00°, β = 90.00°, γ = 90.00°
Space group F-43m (No. 216)
Symmetry-distinct sites (fractional):
Dy  0.000  0.000  0.000 x4
Zr  0.000  0.000  0.500 x4
Zn  0.250  0.250  0.250 x4
Os  0.250  0.250  0.750 x4

Entry 3:
The following is a PBE-GGA calculation of an optimized crystal structure of DyZr4Os5, from the Alexandria database.

Summary:
Energy relative to the elements in eV per atom: -0.459
Calculated volume in Å³ per cell: 181.7

a = 3.300 Å, b = 3.300 Å, c = 16.683 Å
α = 90.00°, β = 90.00°, γ = 90.00°
Space group P4/mmm (No. 123)
Symmetry-distinct sites (fractional):
Dy  0.000  0.000  0.000 x1
Zr  0.000  0.000  0.203 x2
Zr  0.000  0.000  0.401 x2
Os  0.500  0.500  0.111 x2
Os  0.500  0.500  0.305 x2
Os  0.500  0.500  0.500 x1

Q: calculated volume of number 2 (DyZrZnOs)?
A: 312.6 Å³ per cell

Q: The lowest calculated volume belongs to which entry?
A: DyZr4Os5

Q: Which formula does entry 1 have?
A: Dy4Zn2Os